Record 1
Computed, not measured: a relaxed TeAsN2F crystal at the PBE-GGA level of DFT.

```
TeAsN2F
1.0
3.650 0.000 0.000
0.000 3.650 0.000
0.000 0.000 6.120
Te As N F
1 1 2 1
Cartesian
0.000 0.000 0.000
0.000 0.000 3.060
0.000 1.825 3.060
1.825 0.000 3.060
1.825 1.825 0.000
```

## Properties
The value obtained for the energy above the lowest structure with this stoichiometry is 235.9 meV per atom. Its formation energy from raw total energies is 950 meV per atom. Its total magnetization is 0.13 μB/atom.


Record 2
Computed, not measured: a relaxed BaLi2Pb3 crystal at the PBE-GGA level of DFT.

```
BaLi2Pb3
1.0
6.650 0.000 0.000
-3.325 5.759 0.000
0.000 0.000 4.525
Ba Li Pb
1 2 3
Cartesian
0.000 0.000 0.000
0.000 3.839 0.000
3.325 1.920 0.000
-1.662 2.879 2.262
3.325 0.000 2.262
1.662 2.879 2.262
```

## Properties
The value obtained for the energy above the lowest structure with this stoichiometry is 0.0 meV per atom. The formation energy from the elements comes out at -0.390 eV/atom. Its total magnetization is 0.00 μB/atom.


Record 3
Computed, not measured: a relaxed Ce8Pa crystal at the PBE-GGA level of DFT.

```
Ce8Pa
1.0
-5.985 5.985 1.607
5.985 -5.985 1.607
5.985 5.985 -1.607
Ce Pa
8 1
Cartesian
4.000 0.000 0.000
7.971 0.000 0.000
0.000 4.000 0.000
4.011 4.011 0.000
1.975 -1.975 1.607
-1.975 1.975 1.607
1.975 1.975 1.607
0.000 7.971 0.000
0.000 0.000 0.000
```

## Properties
The formation energy from the elements comes out at 0.103 eV/atom. Its total magnetization is 0.00 μB/atom.


Record 4
Computed, not measured: a relaxed LiTa2IrN crystal at the PBE-GGA level of DFT.

```
LiTa2IrN
1.0
4.240 0.000 0.000
0.000 4.240 0.000
0.000 0.000 3.736
Li Ta Ir N
1 2 1 1
Cartesian
0.000 0.000 0.000
0.000 2.120 1.868
2.120 0.000 1.868
2.120 2.120 0.000
0.000 0.000 1.868
```

## Properties
Its formation energy from raw total energies is -651 meV per atom. Its total magnetization is 0.00 μB/atom.


Record 5
Computed, not measured: a relaxed PmAlCdO4 crystal at the PBE-GGA level of DFT.

```
PmAlCdO4
1.0
3.027 -4.727 0.000
3.027 4.727 0.000
0.000 0.000 6.993
Pm Al Cd O
2 2 2 8
Cartesian
0.000 0.000 0.000
0.000 0.000 3.496
3.027 1.380 5.245
3.027 -1.380 1.748
3.027 1.642 1.748
3.027 -1.642 5.245
1.605 0.255 5.245
3.027 2.408 3.802
3.027 2.408 6.687
1.605 -0.255 1.748
4.449 0.255 5.245
3.027 -2.408 0.306
3.027 -2.408 3.191
4.449 -0.255 1.748
```

## Properties
Its formation energy from raw total energies is -2549 meV per atom. Its total magnetization is 0.00 μB/atom.


Record 6
Computed, not measured: a relaxed PmGeO4 crystal at the PBE-GGA level of DFT.

```
PmGeO4
1.0
-2.595 2.595 5.805
2.595 -2.595 5.805
2.595 2.595 -5.805
Pm Ge O
2 2 8
Cartesian
0.000 1.298 1.451
2.595 1.298 4.354
2.595 1.298 -1.451
0.000 1.298 7.257
3.916 0.546 -0.516
3.346 0.024 2.386
0.751 0.024 3.419
1.274 2.049 -0.516
1.321 0.546 6.321
1.844 2.572 2.386
-0.751 2.572 3.419
-1.321 2.049 6.321
```

## Properties
The value obtained for the energy above the lowest structure with this stoichiometry is 0.0 meV per atom. Its formation energy from raw total energies is -2207 meV per atom. Its total magnetization is 0.17 μB/atom.


Record 7
Computed, not measured: a relaxed Cs2CeTmSe4 crystal at the PBE-GGA level of DFT.

```
Cs2CeTmSe4
1.0
7.506 0.000 0.000
0.000 4.330 0.000
-2.492 0.000 8.366
Cs Ce Tm Se
2 1 1 4
Cartesian
0.000 0.000 0.000
3.753 2.165 0.000
-1.246 2.165 4.183
2.507 0.000 4.183
0.088 0.000 5.752
1.331 2.165 2.643
3.684 2.165 5.724
4.926 0.000 2.614
```

## Properties
Its formation energy from raw total energies is -1679 meV per atom. Its total magnetization is 0.13 μB/atom.


Record 8
Computed, not measured: a relaxed KPr2Be2O6 crystal at the PBE-GGA level of DFT.

```
KPr2Be2O6
1.0
2.674 1.544 6.848
-2.674 1.544 6.848
0.000 -3.088 6.848
K Pr Be O
1 2 2 6
Cartesian
0.000 0.000 0.000
0.000 0.000 4.069
0.000 0.000 16.474
0.000 0.000 9.012
0.000 0.000 11.531
-1.323 -0.764 11.482
0.000 -1.528 9.062
-1.323 0.764 9.062
1.323 -0.764 11.482
0.000 1.528 11.482
1.323 0.764 9.062
```

## Properties
Its formation energy from raw total energies is -2365 meV per atom. Its total magnetization is 0.09 μB/atom.


Record 9
Computed, not measured: a relaxed Pr2HoScO6 crystal at the PBE-GGA level of DFT.

```
Pr2HoScO6
1.0
5.738 0.000 0.000
0.000 5.975 0.000
-5.685 0.000 8.324
Pr Ho Sc O
4 2 2 12
Cartesian
-0.091 0.326 2.085
-2.933 2.661 6.247
2.987 3.314 2.077
0.144 5.649 6.239
2.869 0.000 0.000
0.027 2.988 4.162
-2.843 0.000 4.162
0.000 2.988 0.000
-4.603 1.223 7.767
-1.761 1.765 3.606
-3.993 4.135 7.797
-1.150 4.828 3.635
-2.129 0.309 6.181
0.714 2.679 2.019
-0.660 3.297 6.305
2.182 5.666 2.143
1.203 1.147 4.689
4.046 1.841 0.527
1.814 4.210 4.718
4.657 4.753 0.556
```

## Properties
Its formation energy from raw total energies is -3436 meV per atom. Its total magnetization is 0.00 μB/atom.


Record 10
Computed, not measured: a relaxed BaPbSe crystal at the PBE-GGA level of DFT.

```
BaPbSe
1.0
-2.019 2.019 6.451
2.019 -2.019 6.451
2.019 2.019 -6.451
Ba Pb Se
1 1 1
Cartesian
0.000 0.000 0.000
0.000 0.000 3.486
0.000 0.000 8.027
```

## Properties
The value obtained for the energy above the lowest structure with this stoichiometry is 112.9 meV per atom. Its formation energy from raw total energies is -695 meV per atom. Its total magnetization is 0.00 μB/atom.


Record 11
Computed, not measured: a relaxed TbThCuHg crystal at the PBE-GGA level of DFT.

```
TbThCuHg
1.0
0.000 3.684 3.684
3.684 0.000 3.684
3.684 3.684 0.000
Tb Th Cu Hg
1 1 1 1
Cartesian
0.000 0.000 0.000
3.684 3.684 3.684
5.527 5.527 5.527
1.842 1.842 1.842
```

## Properties
The formation energy from the elements comes out at -0.171 eV/atom. Its total magnetization is 0.15 μB/atom.


Record 12
Computed, not measured: a relaxed LiTl12Hg7 crystal at the PBE-GGA level of DFT.

```
LiTl12Hg7
1.0
9.096 5.252 2.063
-9.096 5.252 2.063
0.000 -10.503 2.063
Li Tl Hg
1 12 7
Cartesian
0.000 0.000 0.000
-3.719 -6.441 3.095
-7.437 0.000 3.095
-3.115 -1.798 2.048
3.115 -1.798 2.048
0.000 3.597 2.048
3.719 -6.441 3.095
-3.719 6.441 3.095
0.000 -3.597 4.142
-3.115 1.798 4.142
3.115 1.798 4.142
7.437 0.000 3.095
3.719 6.441 3.095
0.000 -2.504 1.113
-2.168 1.252 1.113
2.168 1.252 1.113
0.000 0.000 3.095
-2.168 -1.252 5.076
2.168 -1.252 5.076
0.000 2.504 5.076
```

## Properties
The value obtained for the energy above the lowest structure with this stoichiometry is 0.0 meV per atom. The formation energy from the elements comes out at -0.004 eV/atom. Its total magnetization is 0.00 μB/atom.


Record 13
Computed, not measured: a relaxed Ba2NaCaCu crystal at the PBE-GGA level of DFT.

```
Ba2NaCaCu
1.0
6.345 0.000 0.000
0.000 6.345 0.000
0.000 0.000 5.800
Ba Na Ca Cu
2 1 1 1
Cartesian
0.000 3.173 0.000
3.173 0.000 0.000
0.000 0.000 2.900
3.173 3.173 2.900
3.173 3.173 0.000
```

## Properties
The value obtained for the energy above the lowest structure with this stoichiometry is 0.0 meV per atom. The formation energy from the elements comes out at 0.011 eV/atom. Its total magnetization is 0.00 μB/atom.


Record 14
Computed, not measured: a relaxed LaPm2Dy8 crystal at the PBE-GGA level of DFT.

```
LaPm2Dy8
1.0
-2.772 4.090 8.028
2.772 -4.090 8.028
2.772 4.090 -8.028
La Pm Dy
1 2 8
Cartesian
0.000 0.000 0.000
0.000 0.000 4.824
0.000 0.000 11.231
2.772 -1.684 5.780
2.772 0.000 2.596
2.772 2.412 0.000
0.000 2.406 2.247
2.772 1.684 5.780
0.000 1.678 8.028
0.000 4.090 5.431
0.000 5.773 2.247
```

## Properties
The value obtained for the energy above the lowest structure with this stoichiometry is 0.0 meV per atom. The formation energy from the elements comes out at 0.117 eV/atom. Its total magnetization is 0.00 μB/atom.


Record 15
Computed, not measured: a relaxed Rh3W crystal at the PBE-GGA level of DFT.

```
Rh3W
1.0
4.547 -1.374 0.000
4.547 1.374 0.000
-0.824 0.000 4.679
Rh W
3 1
Cartesian
0.000 0.000 0.000
1.639 0.000 3.501
6.632 0.000 1.178
4.135 0.000 2.340
```

## Properties
The formation energy from the elements comes out at -0.093 eV/atom. Its total magnetization is 0.00 μB/atom.


Record 16
Computed, not measured: a relaxed CdCu3Se crystal at the PBE-GGA level of DFT.

```
CdCu3Se
1.0
4.648 0.000 0.000
0.000 4.648 0.000
0.000 0.000 4.648
Cd Cu Se
1 3 1
Cartesian
0.000 0.000 0.000
0.000 2.324 2.324
2.324 0.000 2.324
2.324 2.324 0.000
2.324 2.324 2.324
```

## Properties
The value obtained for the energy above the lowest structure with this stoichiometry is 0.0 meV per atom. Its formation energy from raw total energies is 410 meV per atom. Its total magnetization is 0.00 μB/atom.


Record 17
Computed, not measured: a relaxed CsNbRh2 crystal at the PBE-GGA level of DFT.

```
CsNbRh2
1.0
0.000 3.421 3.421
3.421 0.000 3.421
3.421 3.421 0.000
Cs Nb Rh
1 1 2
Cartesian
0.000 0.000 0.000
3.421 3.421 3.421
1.710 1.710 1.710
5.131 5.131 5.131
```

## Properties
The value obtained for the energy above the lowest structure with this stoichiometry is 320.3 meV per atom. The formation energy from the elements comes out at 1.065 eV/atom. Its total magnetization is 0.00 μB/atom.


Record 18
Computed, not measured: a relaxed Zn2CoPtN crystal at the PBE-GGA level of DFT.

```
Zn2CoPtN
1.0
4.730 0.000 0.000
0.000 4.730 0.000
0.000 0.000 3.305
Zn Co Pt N
2 1 1 1
Cartesian
0.000 2.365 0.000
2.365 0.000 0.000
0.000 0.000 0.000
2.365 2.365 1.652
0.000 0.000 1.652
```

## Properties
Its formation energy from raw total energies is 349 meV per atom. Its total magnetization is 0.00 μB/atom.


Record 19
Computed, not measured: a relaxed Ba2Hg8Bi crystal at the PBE-GGA level of DFT.

```
Ba2Hg8Bi
1.0
7.736 -2.610 0.000
7.736 2.610 0.000
-4.936 0.000 8.574
Ba Hg Bi
2 8 1
Cartesian
2.639 0.000 1.746
7.898 0.000 6.827
-2.315 0.000 6.653
-0.303 0.000 4.152
2.361 0.000 5.912
6.082 0.000 0.469
4.455 0.000 8.105
8.176 0.000 2.662
10.840 0.000 4.421
12.852 0.000 1.921
5.269 0.000 4.287
```

## Properties
The value obtained for the energy above the lowest structure with this stoichiometry is 0.0 meV per atom. The formation energy from the elements comes out at -0.347 eV/atom. Its total magnetization is 0.00 μB/atom.


Record 20
Computed, not measured: a relaxed ReRh2Br crystal at the PBE-GGA level of DFT.

```
ReRh2Br
1.0
2.874 0.000 0.000
0.000 3.550 0.000
0.000 0.000 6.394
Re Rh Br
1 2 1
Cartesian
0.000 0.000 0.000
0.000 0.000 2.762
1.437 1.775 1.246
1.437 1.775 4.450
```

## Properties
The value obtained for the energy above the lowest structure with this stoichiometry is 353.1 meV per atom. Its formation energy from raw total energies is 659 meV per atom. Its total magnetization is 0.00 μB/atom.


Record 21
Computed, not measured: a relaxed TlCuOs2 crystal at the PBE-GGA level of DFT.

```
TlCuOs2
1.0
3.091 0.000 0.000
0.000 3.091 0.000
0.000 0.000 6.666
Tl Cu Os
1 1 2
Cartesian
0.000 0.000 0.000
0.000 0.000 3.333
1.546 1.546 2.015
1.546 1.546 4.651
```

## Properties
The value obtained for the energy above the lowest structure with this stoichiometry is 451.7 meV per atom. The formation energy from the elements comes out at 0.955 eV/atom. Its total magnetization is 0.00 μB/atom.


Record 22
Computed, not measured: a relaxed BaTlBrF4 crystal at the PBE-GGA level of DFT.

```
BaTlBrF4
1.0
6.056 -3.901 0.000
6.056 3.901 0.000
-2.656 0.000 7.568
Ba Tl Br F
2 2 2 8
Cartesian
0.396 0.000 2.214
9.061 0.000 5.354
0.898 0.000 6.492
8.559 0.000 1.077
4.435 0.000 1.313
5.022 0.000 6.256
-0.403 0.000 4.747
1.882 1.611 5.421
-1.222 0.000 7.304
7.575 1.611 2.148
1.882 -1.611 5.421
10.679 0.000 0.264
7.575 -1.611 2.148
9.860 0.000 2.821
```

## Properties
Its formation energy from raw total energies is -2415 meV per atom. Its total magnetization is 0.00 μB/atom.


Record 23
Computed, not measured: a relaxed Ba2ZrPd crystal at the PBE-GGA level of DFT.

```
Ba2ZrPd
1.0
0.000 4.077 4.077
4.077 0.000 4.077
4.077 4.077 0.000
Ba Zr Pd
2 1 1
Cartesian
2.038 2.038 2.038
6.115 6.115 6.115
0.000 0.000 0.000
4.077 4.077 4.077
```

## Properties
The value obtained for the energy above the lowest structure with this stoichiometry is 210.0 meV per atom. The formation energy from the elements comes out at 0.490 eV/atom. Its total magnetization is 1.00 μB/atom.


Record 24
Computed, not measured: a relaxed LaSc3S crystal at the PBE-GGA level of DFT.

```
LaSc3S
1.0
5.219 0.000 0.000
0.000 5.219 0.000
0.000 0.000 5.219
La Sc S
1 3 1
Cartesian
0.000 0.000 0.000
0.000 0.000 2.610
0.000 2.610 0.000
2.610 0.000 0.000
2.610 2.610 2.610
```

## Properties
The value obtained for the energy above the lowest structure with this stoichiometry is 1602.0 meV per atom. Its formation energy from raw total energies is 1013 meV per atom. Its total magnetization is 0.00 μB/atom.


Record 25
Computed, not measured: a relaxed CaReAs2 crystal at the PBE-GGA level of DFT.

```
CaReAs2
1.0
0.000 3.270 3.270
3.270 0.000 3.270
3.270 3.270 0.000
Ca Re As
1 1 2
Cartesian
0.000 0.000 0.000
3.270 3.270 3.270
1.635 1.635 1.635
4.905 4.905 4.905
```

## Properties
The value obtained for the energy above the lowest structure with this stoichiometry is 180.8 meV per atom. The formation energy from the elements comes out at -0.112 eV/atom. Its total magnetization is 0.00 μB/atom.